(1)
This record from Alexandria describes a geometry-optimized Ag4TeBrCl structure. The functional is PBE-GGA.

a b c (Å): 6.519 6.107 9.613
angles (deg): 90.00 112.01 90.00
Fractional positions:
Ag1 0.071 0.498 0.693
Ag2 0.929 0.998 0.307
Ag3 0.929 0.502 0.307
Ag4 0.071 0.002 0.693
Ag5 0.488 0.750 0.174
Ag6 0.512 0.250 0.826
Ag7 0.296 0.750 0.531
Ag8 0.704 0.250 0.469
Te1 0.704 0.750 0.489
Te2 0.296 0.250 0.511
Br1 0.441 0.750 0.877
Br2 0.559 0.250 0.123
Cl1 0.065 0.750 0.137
Cl2 0.935 0.250 0.863

Values from the calculation:
total magnetic moment = 0.0 Bohr magnetons per cell
energy relative to the elements, uncorrected = -223 meV per atom

(2)
This record from Alexandria describes a geometry-optimized ThAg3Br2Cl6 structure. The functional is PBE-GGA.

a b c (Å): 6.328 7.912 8.014
angles (deg): 119.58 95.59 90.00
Fractional positions:
Th1 0.500 0.000 0.000
Ag1 0.000 0.500 0.000
Ag2 0.500 0.500 0.500
Ag3 0.500 0.000 0.500
Br1 0.255 0.668 0.335
Br2 0.745 0.332 0.665
Cl1 0.753 0.329 0.168
Cl2 0.247 0.671 0.832
Cl3 0.734 0.847 0.694
Cl4 0.266 0.153 0.306
Cl5 0.247 0.161 0.832
Cl6 0.753 0.839 0.168

Values from the calculation:
total magnetic moment = 0.0 Bohr magnetons per cell
energy relative to the elements, uncorrected = -1072 meV per atom

(3)
This record from Alexandria describes a geometry-optimized Tl3Ag2Br2Cl4 structure. The functional is PBE-GGA.

a b c (Å): 5.017 5.017 14.072
angles (deg): 100.27 100.27 90.00
Fractional positions:
Tl1 0.000 0.000 0.000
Tl2 0.184 0.184 0.367
Tl3 0.816 0.816 0.633
Ag1 0.406 0.406 0.812
Ag2 0.594 0.594 0.188
Br1 0.301 0.301 0.601
Br2 0.699 0.699 0.399
Cl1 0.420 0.920 0.840
Cl2 0.920 0.420 0.840
Cl3 0.080 0.580 0.160
Cl4 0.580 0.080 0.160

Values from the calculation:
total magnetic moment = 0.0 Bohr magnetons per cell
energy relative to the elements, uncorrected = -698 meV per atom

(4)
This record from Alexandria describes a geometry-optimized Tl3Ag2Br2Cl3 structure. The functional is PBE-GGA.

a b c (Å): 5.118 5.118 13.683
angles (deg): 100.78 100.78 90.00
Fractional positions:
Tl1 0.623 0.623 0.245
Tl2 0.377 0.377 0.755
Tl3 0.000 0.000 0.000
Ag1 0.790 0.790 0.581
Ag2 0.210 0.210 0.419
Br1 0.750 0.250 0.500
Br2 0.250 0.750 0.500
Cl1 0.887 0.887 0.774
Cl2 0.500 0.500 0.000
Cl3 0.113 0.113 0.226

Values from the calculation:
total magnetic moment = 0.0 Bohr magnetons per cell
energy relative to the elements, uncorrected = -663 meV per atom

(5)
This record from Alexandria describes a geometry-optimized Tl2AgBr2Cl structure. The functional is PBE-GGA.

a b c (Å): 6.724 6.730 9.800
angles (deg): 110.08 90.00 90.00
Fractional positions:
Tl1 0.249 0.907 0.320
Tl2 0.249 0.586 0.680
Tl3 0.749 0.093 0.680
Tl4 0.749 0.414 0.320
Ag1 0.679 0.827 0.000
Ag2 0.179 0.173 0.000
Br1 0.757 0.885 0.284
Br2 0.757 0.601 0.716
Br3 0.257 0.399 0.284
Br4 0.257 0.115 0.716
Cl1 0.281 0.784 0.000
Cl2 0.781 0.216 0.000

Values from the calculation:
total magnetic moment = 0.0 Bohr magnetons per cell
energy relative to the elements, uncorrected = -717 meV per atom

(6)
This record from Alexandria describes a geometry-optimized Tl3Ag2Br4Cl2 structure. The functional is PBE-GGA.

a b c (Å): 5.252 5.252 13.864
angles (deg): 100.92 100.92 90.00
Fractional positions:
Tl1 0.000 0.000 0.000
Tl2 0.187 0.187 0.373
Tl3 0.813 0.813 0.627
Ag1 0.397 0.397 0.794
Ag2 0.603 0.603 0.206
Br1 0.416 0.916 0.832
Br2 0.916 0.416 0.832
Br3 0.084 0.584 0.168
Br4 0.584 0.084 0.168
Cl1 0.297 0.297 0.594
Cl2 0.703 0.703 0.406

Values from the calculation:
total magnetic moment = 0.0 Bohr magnetons per cell
energy relative to the elements, uncorrected = -636 meV per atom

(7)
This record from Alexandria describes a geometry-optimized Tl2AgBrCl3 structure. The functional is PBE-GGA.

a b c (Å): 5.330 5.169 8.726
angles (deg): 107.23 107.78 90.00
Fractional positions:
Tl1 0.644 0.644 0.287
Tl2 0.356 0.356 0.713
Ag1 0.000 0.000 0.000
Br1 0.500 0.000 0.000
Cl1 0.000 0.500 0.000
Cl2 0.166 0.166 0.331
Cl3 0.834 0.834 0.669

Values from the calculation:
total magnetic moment = 0.0 Bohr magnetons per cell
energy relative to the elements, uncorrected = -681 meV per atom

(8)
This record from Alexandria describes a geometry-optimized TlAgBrCl2 structure. The functional is PBE-GGA.

a b c (Å): 4.263 8.643 8.162
angles (deg): 90.00 90.00 104.28
Fractional positions:
Tl1 0.705 0.410 0.750
Tl2 0.295 0.590 0.250
Ag1 0.000 0.000 0.000
Ag2 0.000 0.000 0.500
Br1 0.505 0.009 0.750
Br2 0.495 0.991 0.250
Cl1 0.145 0.289 0.008
Cl2 0.855 0.711 0.992
Cl3 0.145 0.289 0.492
Cl4 0.855 0.711 0.508

Values from the calculation:
total magnetic moment = 0.0 Bohr magnetons per cell
energy relative to the elements, uncorrected = -561 meV per atom
offset from the most stable computed form = 0.094 eV per formula unit